(w)
Material: KNa3Cd3
Method: DFT, PBE
State: relaxed

Cell: 7.653 7.653 10.559 Å, 68.75 68.75 60.00°
Positions (direct):
K: 0.700 0.700 0.900
K: 0.300 0.300 0.100
Na: 0.285 0.756 0.769
Na: 0.756 0.190 0.769
Na: 0.190 0.285 0.769
Na: 0.810 0.715 0.231
Na: 0.244 0.810 0.231
Na: 0.715 0.244 0.231
Cd: 0.233 0.395 0.438
Cd: 0.934 0.233 0.438
Cd: 0.395 0.934 0.438
Cd: 0.605 0.066 0.562
Cd: 0.066 0.767 0.562
Cd: 0.767 0.605 0.562

Volume in Å³ per atom: 34.743
Spin magnetization in μB per formula unit: 0.0



(x)
Material: KNa3Cd3
Method: DFT, PBE
State: relaxed

Cell: 8.534 8.534 8.534 Å, 90.00 90.00 90.00°
Positions (direct):
Na: 0.000 0.250 0.500
Na: 0.000 0.750 0.500
Na: 0.500 0.000 0.750
Na: 0.750 0.500 0.000
Na: 0.500 0.000 0.250
Na: 0.250 0.500 0.000
K: 0.500 0.500 0.500
K: 0.000 0.000 0.000
Cd: 0.250 0.000 0.500
Cd: 0.000 0.500 0.250
Cd: 0.500 0.750 0.000
Cd: 0.750 0.000 0.500
Cd: 0.000 0.500 0.750
Cd: 0.500 0.250 0.000

Volume in Å³ per atom: 44.395
Spin magnetization in μB per formula unit: 0.0



Computed relative energies in units of meV/atom: (w) 0; (x) 187



(w)
Material: K3NaCd
Method: DFT, PBE
State: relaxed

Cell: 4.786 10.434 10.948 Å, 93.86 90.06 103.07°
Positions (direct):
K: 0.085 0.203 0.437
K: 0.418 0.873 0.641
K: 0.626 0.281 0.780
K: 0.959 0.951 0.984
K: 0.269 0.571 0.017
K: 0.775 0.583 0.405
Na: 0.438 0.905 0.278
Na: 0.606 0.249 0.144
Cd: 0.239 0.511 0.658
Cd: 0.805 0.643 0.764

Volume in Å³ per atom: 53.125
Spin magnetization in μB per formula unit: 0.0



(x)
Material: K3NaCd
Method: DFT, PBE
State: relaxed

Cell: 5.160 14.223 14.223 Å, 90.00 90.00 90.00°
Positions (direct):
K: 0.500 0.676 0.021
K: 0.000 0.176 0.479
K: 0.000 0.824 0.521
K: 0.000 0.884 0.884
K: 0.000 0.479 0.176
K: 0.500 0.616 0.384
K: 0.000 0.116 0.116
K: 0.500 0.324 0.979
K: 0.500 0.021 0.676
K: 0.000 0.521 0.824
K: 0.500 0.979 0.324
K: 0.500 0.384 0.616
Na: 0.500 0.315 0.315
Na: 0.000 0.815 0.185
Na: 0.500 0.685 0.685
Na: 0.000 0.185 0.815
Cd: 0.500 0.926 0.074
Cd: 0.000 0.574 0.574
Cd: 0.500 0.074 0.926
Cd: 0.000 0.426 0.426

Volume in Å³ per atom: 52.191
Spin magnetization in μB per formula unit: 0.0



Computed relative energies in units of meV/atom: (w) 0; (x) 6



(w)
Material: K8Na2Cd
Method: DFT, PBE
State: relaxed

Cell: 6.658 8.807 11.593 Å, 98.05 106.69 90.00°
Positions (direct):
K: 0.413 0.601 0.825
K: 0.661 0.921 0.323
K: 0.785 0.364 0.569
K: 0.027 0.780 0.054
K: 0.215 0.636 0.431
K: 0.339 0.079 0.677
K: 0.587 0.399 0.175
K: 0.973 0.220 0.946
Na: 0.844 0.825 0.687
Na: 0.156 0.175 0.313
Cd: 0.500 0.000 0.000

Volume in Å³ per atom: 58.559
Spin magnetization in μB per formula unit: 0.0



(x)
Material: K8Na2Cd
Method: DFT, PBE
State: relaxed

Cell: 6.722 9.035 11.777 Å, 108.21 106.58 90.00°
Positions (direct):
K: 0.405 0.570 0.810
K: 0.653 0.949 0.307
K: 0.803 0.726 0.607
K: 0.983 0.216 0.966
K: 0.197 0.274 0.393
K: 0.347 0.051 0.693
K: 0.595 0.430 0.190
K: 0.017 0.784 0.034
Na: 0.818 0.298 0.637
Na: 0.182 0.702 0.363
Cd: 0.500 0.000 0.000

Volume in Å³ per atom: 58.903
Spin magnetization in μB per formula unit: 0.0



Computed relative energies in units of meV/atom: (w) 0; (x) 7



(w)
Material: KNa8Cd2
Method: DFT, PBE
State: relaxed

Cell: 10.220 6.787 6.787 Å, 120.00 90.00 90.00°
Positions (direct):
K: 0.500 0.000 0.000
Na: 0.711 0.333 0.667
Na: 0.289 0.667 0.333
Na: 0.141 0.169 0.338
Na: 0.859 0.831 0.662
Na: 0.859 0.338 0.169
Na: 0.141 0.662 0.831
Na: 0.141 0.169 0.831
Na: 0.859 0.831 0.169
Cd: 0.601 0.667 0.333
Cd: 0.399 0.333 0.667

Volume in Å³ per atom: 37.063
Spin magnetization in μB per formula unit: 0.0



(x)
Material: KNa8Cd2
Method: DFT, PBE
State: relaxed

Cell: 5.616 9.208 8.916 Å, 115.58 108.36 90.00°
Positions (direct):
K: 0.500 0.000 0.000
Na: 0.611 0.485 0.222
Na: 0.289 0.101 0.578
Na: 0.160 0.306 0.320
Na: 0.059 0.718 0.118
Na: 0.840 0.694 0.680
Na: 0.711 0.899 0.422
Na: 0.389 0.515 0.778
Na: 0.941 0.282 0.882
Cd: 0.245 0.706 0.490
Cd: 0.755 0.294 0.510

Volume in Å³ per atom: 35.430
Spin magnetization in μB per formula unit: 0.0



Computed relative energies in units of meV/atom: (w) 69; (x) 0